Here is crystalline Ni2HgI8 at its relaxed geometry from the Alexandria database. Energies are from PBE-GGA.

* volume: 561.5 Å³/cell
* Fermi-level density of states: 3.020 states/eV/f.u.
* mass density: 3.943 g cm⁻³
* E_tot: -2.252 eV/atom
* SG: C2/m (12)

abc: 7.269 7.269 11.227
angles: 103.08 103.08 90.67
Positions (direct):
Ni  0.089  0.089  0.371
Ni  0.911  0.911  0.629
Hg  0.000  0.000  0.000
I  0.149  0.778  0.794
I  0.159  0.159  0.611
I  0.222  0.851  0.206
I  0.347  0.347  0.396
I  0.653  0.653  0.604
I  0.778  0.149  0.794
I  0.841  0.841  0.389
I  0.851  0.222  0.206


Here is crystalline NiHg2I at its relaxed geometry from the Alexandria database. Energies are from PBE-GGA.

* volume: 100.6 Å³/cell
* Fermi-level density of states: 2.374 states/eV/f.u.
* mass density: 9.682 g cm⁻³
* E_tot: -1.249 eV/atom
* SG: Fm-3m (225)

abc: 5.221 5.221 5.221
angles: 60.00 60.00 60.00
Positions (direct):
Ni  0.000  0.000  0.000
Hg  0.250  0.250  0.250
Hg  0.750  0.750  0.750
I  0.500  0.500  0.500


Here is crystalline Ni2HgI at its relaxed geometry from the Alexandria database. Energies are from PBE-GGA.

* volume: 71.0 Å³/cell
* Fermi-level density of states: 5.511 states/eV/f.u.
* mass density: 10.411 g cm⁻³
* E_tot: -2.750 eV/atom
* SG: Fm-3m (225)

abc: 4.647 4.647 4.647
angles: 60.00 60.00 60.00
Positions (direct):
Ni  0.250  0.250  0.250
Ni  0.750  0.750  0.750
Hg  0.000  0.000  0.000
I  0.500  0.500  0.500


- volume of number 3 (Ni2HgI)?
  71.0 Å³/cell


Repeat the third record exactly.
Here is crystalline Ni2HgI at its relaxed geometry from the Alexandria database. Energies are from PBE-GGA.

* volume: 71.0 Å³/cell
* Fermi-level density of states: 5.511 states/eV/f.u.
* mass density: 10.411 g cm⁻³
* E_tot: -2.750 eV/atom
* SG: Fm-3m (225)

abc: 4.647 4.647 4.647
angles: 60.00 60.00 60.00
Positions (direct):
Ni  0.250  0.250  0.250
Ni  0.750  0.750  0.750
Hg  0.000  0.000  0.000
I  0.500  0.500  0.500